Record 1
MnPbAu2 at its PBEsol-relaxed geometry. Source: the Alexandria database, functional SCAN. Values from VASP.

symmetry	P4mm, No. 99
total DFT energy (no corrections)	-58.185	eV/atom
DFT formation energy	-0.389	eV/f.u.

Cell and atoms, written as Quantum ESPRESSO input:
```
&SYSTEM
  ibrav = 0, nat = 4, ntyp = 3
/
ATOMIC_SPECIES
Au 196.97 Au.upf
Pb 207.20 Pb.upf
Mn 54.94 Mn.upf
CELL_PARAMETERS angstrom
3.380 0.000 0.000
0.000 3.380 0.000
0.000 0.000 6.672
ATOMIC_POSITIONS crystal
Au 0.500 0.500 0.268
Au 0.000 0.000 0.035
Pb 0.500 0.500 0.745
Mn 0.000 0.000 0.451
```

=====

Record 2
LiMnPO5 at its PBEsol-relaxed geometry. Source: the Alexandria database, functional SCAN. Values from VASP.

symmetry	Pnma, No. 62
total DFT energy (no corrections)	-10.142	eV/atom
energy relative to the elements, uncorrected	-2367	meV per atom

Cell and atoms, written as Quantum ESPRESSO input:
```
&SYSTEM
  ibrav = 0, nat = 32, ntyp = 4
/
ATOMIC_SPECIES
O 16.00 O.upf
P 30.97 P.upf
Mn 54.94 Mn.upf
Li 6.94 Li.upf
CELL_PARAMETERS angstrom
-0.682 1.413 5.995
-5.650 -4.097 0.324
4.216 -5.670 1.816
ATOMIC_POSITIONS crystal
O 0.055 0.872 0.752
O 0.445 0.372 0.748
O 0.945 0.628 0.252
O 0.055 0.372 0.748
O 0.445 0.872 0.752
O 0.250 0.564 0.990
O 0.250 0.889 0.165
O 0.555 0.628 0.252
O 0.945 0.128 0.248
O 0.750 0.802 0.995
O 0.250 0.698 0.495
O 0.555 0.128 0.248
O 0.750 0.611 0.665
O 0.250 0.198 0.005
O 0.750 0.111 0.835
O 0.250 0.389 0.335
O 0.750 0.936 0.490
O 0.750 0.436 0.010
O 0.250 0.064 0.510
O 0.750 0.302 0.505
P 0.750 0.123 0.379
P 0.750 0.623 0.121
P 0.250 0.877 0.621
P 0.250 0.377 0.879
Mn 0.750 0.358 0.769
Mn 0.250 0.642 0.231
Mn 0.250 0.142 0.269
Mn 0.750 0.858 0.731
Li 0.500 0.000 0.000
Li 0.500 0.500 0.500
Li 0.000 0.000 0.000
Li 0.000 0.500 0.500
```

=====

Record 3
KZr2Te at its PBEsol-relaxed geometry. Source: the Alexandria database, functional SCAN. Values from VASP.

symmetry	Immm, No. 71
total DFT energy (no corrections)	-26.649	eV/atom
energy relative to the elements, uncorrected	95	meV per atom

Cell and atoms, written as Quantum ESPRESSO input:
```
&SYSTEM
  ibrav = 0, nat = 4, ntyp = 3
/
ATOMIC_SPECIES
Zr 91.22 Zr.upf
K 39.10 K.upf
Te 127.60 Te.upf
CELL_PARAMETERS angstrom
3.412 0.000 0.000
0.000 5.384 0.000
-1.706 -2.692 5.868
ATOMIC_POSITIONS crystal
Zr 0.706 0.706 0.412
Zr 0.294 0.294 0.588
K 0.500 0.000 0.000
Te 0.000 0.500 0.000
```

=====

Record 4
Mg2BeIn at its PBEsol-relaxed geometry. Source: the Alexandria database, functional SCAN. Values from VASP.

symmetry	Imm2, No. 44
total DFT energy (no corrections)	-11.748	eV/atom
DFT formation energy	0.697	eV/f.u.

Cell and atoms, written as Quantum ESPRESSO input:
```
&SYSTEM
  ibrav = 0, nat = 4, ntyp = 3
/
ATOMIC_SPECIES
Be 9.01 Be.upf
Mg 24.30 Mg.upf
In 114.82 In.upf
CELL_PARAMETERS angstrom
-2.366 -0.684 -1.606
2.593 -2.138 -2.910
-0.781 -3.695 5.415
ATOMIC_POSITIONS crystal
Be 0.501 0.501 0.001
Mg 0.812 0.312 0.625
Mg 0.000 0.000 0.001
In 0.187 0.687 0.373
```

=====

Record 5
TaCrSeN2 at its PBEsol-relaxed geometry. Source: the Alexandria database, functional SCAN. Values from VASP.

symmetry	P4/mmm, No. 123
total DFT energy (no corrections)	-24.748	eV/atom
energy relative to the elements, uncorrected	-22	meV per atom

Cell and atoms, written as Quantum ESPRESSO input:
```
&SYSTEM
  ibrav = 0, nat = 5, ntyp = 4
/
ATOMIC_SPECIES
N 14.01 N.upf
Ta 180.95 Ta.upf
Se 78.96 Se.upf
Cr 52.00 Cr.upf
CELL_PARAMETERS angstrom
3.948 0.000 0.000
0.000 3.948 0.000
0.000 0.000 5.304
ATOMIC_POSITIONS crystal
N 0.000 0.500 0.000
N 0.500 0.000 0.000
Ta 0.000 0.000 0.000
Se 0.000 0.000 0.500
Cr 0.500 0.500 0.500
```

=====

Record 6
Ta2OsAu at its PBEsol-relaxed geometry. Source: the Alexandria database, functional SCAN. Values from VASP.

symmetry	C2/m, No. 12
total DFT energy (no corrections)	-68.475	eV/atom
DFT formation energy	0.304	eV/f.u.

Cell and atoms, written as Quantum ESPRESSO input:
```
&SYSTEM
  ibrav = 0, nat = 4, ntyp = 3
/
ATOMIC_SPECIES
Ta 180.95 Ta.upf
Au 196.97 Au.upf
Os 190.23 Os.upf
CELL_PARAMETERS angstrom
-1.088 2.437 1.215
-3.510 -2.619 2.108
3.853 -1.381 2.682
ATOMIC_POSITIONS crystal
Ta 0.251 0.254 0.502
Ta 0.749 0.746 0.498
Au 0.500 0.000 0.000
Os 0.000 0.500 0.000
```

=====

Record 7
IrPbAu at its PBEsol-relaxed geometry. Source: the Alexandria database, functional SCAN. Values from VASP.

symmetry	Imm2, No. 44
total DFT energy (no corrections)	-71.430	eV/atom
DFT formation energy	1.748	eV/f.u.

Cell and atoms, written as Quantum ESPRESSO input:
```
&SYSTEM
  ibrav = 0, nat = 3, ntyp = 3
/
ATOMIC_SPECIES
Ir 192.22 Ir.upf
Pb 207.20 Pb.upf
Au 196.97 Au.upf
CELL_PARAMETERS angstrom
-0.856 1.912 2.338
-3.719 -0.200 -1.197
1.623 -4.398 2.083
ATOMIC_POSITIONS crystal
Ir 0.664 0.664 0.329
Pb 0.329 0.329 0.658
Au 0.007 0.007 0.013
```

=====

Record 8
Sr4CdMo at its PBEsol-relaxed geometry. Source: the Alexandria database, functional SCAN. Values from VASP.

symmetry	F-43m, No. 216
total DFT energy (no corrections)	-24.740	eV/atom
DFT formation energy	5.961	eV/f.u.

Cell and atoms, written as Quantum ESPRESSO input:
```
&SYSTEM
  ibrav = 0, nat = 6, ntyp = 3
/
ATOMIC_SPECIES
Sr 87.62 Sr.upf
Cd 112.41 Cd.upf
Mo 95.94 Mo.upf
CELL_PARAMETERS angstrom
6.777 0.000 0.000
3.389 5.869 0.000
3.389 1.956 5.534
ATOMIC_POSITIONS crystal
Sr 0.375 0.375 0.876
Sr 0.876 0.375 0.375
Sr 0.375 0.876 0.375
Sr 0.375 0.375 0.375
Cd 0.750 0.750 0.750
Mo 0.000 0.000 0.000
```

=====

Record 9
BaCuAs2P at its PBEsol-relaxed geometry. Source: the Alexandria database, functional SCAN. Values from VASP.

symmetry	P4/mmm, No. 123
total DFT energy (no corrections)	-19.239	eV/atom
DFT formation energy	9.336	eV/f.u.

Cell and atoms, written as Quantum ESPRESSO input:
```
&SYSTEM
  ibrav = 0, nat = 5, ntyp = 4
/
ATOMIC_SPECIES
P 30.97 P.upf
As 74.92 As.upf
Ba 137.33 Ba.upf
Cu 63.55 Cu.upf
CELL_PARAMETERS angstrom
-1.865 3.998 2.573
-4.260 0.314 -3.576
-2.958 -3.452 3.220
ATOMIC_POSITIONS crystal
P 0.500 0.500 0.500
As 0.000 0.500 0.000
As 0.000 0.000 0.500
Ba 0.000 0.000 0.000
Cu 0.500 0.000 0.000
```

=====

Record 10
Nb3TlZn at its PBEsol-relaxed geometry. Source: the Alexandria database, functional SCAN. Values from VASP.

symmetry	Pm-3m, No. 221
total DFT energy (no corrections)	-36.113	eV/atom
DFT formation energy	4.697	eV/f.u.

Cell and atoms, written as Quantum ESPRESSO input:
```
&SYSTEM
  ibrav = 0, nat = 5, ntyp = 3
/
ATOMIC_SPECIES
Nb 92.91 Nb.upf
Zn 65.41 Zn.upf
Tl 204.38 Tl.upf
CELL_PARAMETERS angstrom
-1.310 0.327 4.487
2.490 -3.840 1.006
3.747 2.665 0.900
ATOMIC_POSITIONS crystal
Nb 0.000 0.500 0.000
Nb 0.000 0.000 0.500
Nb 0.500 0.000 0.000
Zn 0.000 0.000 0.000
Tl 0.500 0.500 0.500
```

=====

Record 11
In2PbBr at its PBEsol-relaxed geometry. Source: the Alexandria database, functional SCAN. Values from VASP.

symmetry	Cmmm, No. 65
total DFT energy (no corrections)	-40.627	eV/atom
energy relative to the elements, uncorrected	-123	meV per atom

Cell and atoms, written as Quantum ESPRESSO input:
```
&SYSTEM
  ibrav = 0, nat = 4, ntyp = 3
/
ATOMIC_SPECIES
Pb 207.20 Pb.upf
In 114.82 In.upf
Br 79.90 Br.upf
CELL_PARAMETERS angstrom
3.453 0.002 0.000
-1.355 3.176 0.000
0.000 0.000 9.937
ATOMIC_POSITIONS crystal
Pb 0.500 0.500 0.500
In 0.000 0.000 0.234
In 0.000 0.000 0.766
Br 0.500 0.500 0.000
```

=====

Record 12
CaBe4As at its PBEsol-relaxed geometry. Source: the Alexandria database, functional SCAN. Values from VASP.

symmetry	F-43m, No. 216
total DFT energy (no corrections)	-7.520	eV/atom
DFT formation energy	2.146	eV/f.u.

Cell and atoms, written as Quantum ESPRESSO input:
```
&SYSTEM
  ibrav = 0, nat = 6, ntyp = 3
/
ATOMIC_SPECIES
As 74.92 As.upf
Be 9.01 Be.upf
Ca 40.08 Ca.upf
CELL_PARAMETERS angstrom
4.837 0.000 0.000
2.419 4.189 0.000
2.419 1.396 3.950
ATOMIC_POSITIONS crystal
As 0.000 0.000 0.000
Be 0.378 0.378 0.865
Be 0.865 0.378 0.378
Be 0.378 0.378 0.378
Be 0.378 0.865 0.378
Ca 0.750 0.750 0.750
```

=====

Record 13
Be2CrMoCl at its PBEsol-relaxed geometry. Source: the Alexandria database, functional SCAN. Values from VASP.

symmetry	P4/mmm, No. 123
total DFT energy (no corrections)	-12.911	eV/atom
energy relative to the elements, uncorrected	1080	meV per atom

Cell and atoms, written as Quantum ESPRESSO input:
```
&SYSTEM
  ibrav = 0, nat = 5, ntyp = 4
/
ATOMIC_SPECIES
Be 9.01 Be.upf
Mo 95.94 Mo.upf
Cr 52.00 Cr.upf
Cl 35.45 Cl.upf
CELL_PARAMETERS angstrom
4.444 0.000 0.000
0.000 4.444 0.000
0.000 0.000 4.413
ATOMIC_POSITIONS crystal
Be 0.500 0.000 0.000
Be 0.000 0.500 0.000
Mo 0.000 0.000 0.000
Cr 0.500 0.500 0.500
Cl 0.000 0.000 0.500
```

=====

Record 14
TlSn2SbPt at its PBEsol-relaxed geometry. Source: the Alexandria database, functional SCAN. Values from VASP.

symmetry	P4/mmm, No. 123
total DFT energy (no corrections)	-49.777	eV/atom
energy relative to the elements, uncorrected	554	meV per atom

Cell and atoms, written as Quantum ESPRESSO input:
```
&SYSTEM
  ibrav = 0, nat = 5, ntyp = 4
/
ATOMIC_SPECIES
Sb 121.76 Sb.upf
Pt 195.08 Pt.upf
Tl 204.38 Tl.upf
Sn 118.71 Sn.upf
CELL_PARAMETERS angstrom
4.888 0.000 0.000
0.000 5.691 0.000
0.000 0.000 5.691
ATOMIC_POSITIONS crystal
Sb 0.000 0.000 0.000
Pt 0.500 0.000 0.000
Tl 0.500 0.500 0.500
Sn 0.000 0.000 0.500
Sn 0.000 0.500 0.000
```

=====

Record 15
Zr2AlPt at its PBEsol-relaxed geometry. Source: the Alexandria database, functional SCAN. Values from VASP.

symmetry	Cmmm, No. 65
total DFT energy (no corrections)	-35.638	eV/atom
DFT formation energy	-3.208	eV/f.u.

Cell and atoms, written as Quantum ESPRESSO input:
```
&SYSTEM
  ibrav = 0, nat = 4, ntyp = 3
/
ATOMIC_SPECIES
Zr 91.22 Zr.upf
Al 26.98 Al.upf
Pt 195.08 Pt.upf
CELL_PARAMETERS angstrom
3.096 0.000 0.000
0.000 4.972 -0.016
0.000 -1.581 4.714
ATOMIC_POSITIONS crystal
Zr 0.000 0.500 0.000
Zr 0.000 0.000 0.500
Al 0.500 0.000 0.000
Pt 0.500 0.500 0.500
```

=====

Record 16
CaNb2Te2 at its PBEsol-relaxed geometry. Source: the Alexandria database, functional SCAN. Values from VASP.

symmetry	I4/mmm, No. 139
total DFT energy (no corrections)	-30.636	eV/atom
energy relative to the elements, uncorrected	-551	meV per atom

Cell and atoms, written as Quantum ESPRESSO input:
```
&SYSTEM
  ibrav = 0, nat = 5, ntyp = 3
/
ATOMIC_SPECIES
Ca 40.08 Ca.upf
Te 127.60 Te.upf
Nb 92.91 Nb.upf
CELL_PARAMETERS angstrom
-0.347 -3.722 1.337
1.531 1.111 3.490
-7.618 2.886 0.165
ATOMIC_POSITIONS crystal
Ca 0.000 0.000 0.000
Te 0.384 0.384 0.767
Te 0.616 0.616 0.233
Nb 0.750 0.250 0.500
Nb 0.250 0.750 0.500
```

=====

Record 17
Ce2MgSi2 at its PBEsol-relaxed geometry. Source: the Alexandria database, functional SCAN. Values from VASP.

symmetry	P4/mbm, No. 127
total DFT energy (no corrections)	-23.437	eV/atom
energy relative to the elements, uncorrected	-610	meV per atom

Cell and atoms, written as Quantum ESPRESSO input:
```
&SYSTEM
  ibrav = 0, nat = 10, ntyp = 3
/
ATOMIC_SPECIES
Ce 140.12 Ce.upf
Si 28.09 Si.upf
Mg 24.30 Mg.upf
CELL_PARAMETERS angstrom
4.268 0.000 0.000
0.000 7.202 0.000
0.000 0.000 7.202
ATOMIC_POSITIONS crystal
Ce 0.500 0.678 0.178
Ce 0.500 0.178 0.322
Ce 0.500 0.822 0.678
Ce 0.500 0.322 0.822
Si 0.000 0.617 0.883
Si 0.000 0.383 0.117
Si 0.000 0.883 0.383
Si 0.000 0.117 0.617
Mg 0.000 0.000 0.000
Mg 0.000 0.500 0.500
```

=====

Record 18
LiBe2Nb at its PBEsol-relaxed geometry. Source: the Alexandria database, functional SCAN. Values from VASP.

symmetry	Fm-3m, No. 225
total DFT energy (no corrections)	-10.827	eV/atom
DFT formation energy	0.918	eV/f.u.

Cell and atoms, written as Quantum ESPRESSO input:
```
&SYSTEM
  ibrav = 0, nat = 4, ntyp = 3
/
ATOMIC_SPECIES
Li 6.94 Li.upf
Be 9.01 Be.upf
Nb 92.91 Nb.upf
CELL_PARAMETERS angstrom
4.047 0.000 0.000
2.024 3.505 0.000
2.024 1.168 3.305
ATOMIC_POSITIONS crystal
Li 0.000 0.000 0.000
Be 0.250 0.250 0.250
Be 0.750 0.750 0.750
Nb 0.500 0.500 0.500
```

=====

Record 19
LiPt2N at its PBEsol-relaxed geometry. Source: the Alexandria database, functional SCAN. Values from VASP.

symmetry	I4_1/amd, No. 141
total DFT energy (no corrections)	-37.864	eV/atom
energy relative to the elements, uncorrected	152	meV per atom

Cell and atoms, written as Quantum ESPRESSO input:
```
&SYSTEM
  ibrav = 0, nat = 8, ntyp = 3
/
ATOMIC_SPECIES
Pt 195.08 Pt.upf
N 14.01 N.upf
Li 6.94 Li.upf
CELL_PARAMETERS angstrom
-0.148 -5.174 -0.053
4.039 -0.082 -3.237
1.697 2.478 6.193
ATOMIC_POSITIONS crystal
Pt 0.125 0.375 0.250
Pt 0.125 0.875 0.750
Pt 0.625 0.875 0.750
Pt 0.125 0.875 0.250
N 0.250 0.750 0.500
N 0.000 0.000 0.000
Li 0.750 0.250 0.500
Li 0.500 0.500 0.000
```

=====

Record 20
LaSbSe2 at its PBEsol-relaxed geometry. Source: the Alexandria database, functional SCAN. Values from VASP.

symmetry	I4/mmm, No. 139
total DFT energy (no corrections)	-31.062	eV/atom
energy relative to the elements, uncorrected	-931	meV per atom

Cell and atoms, written as Quantum ESPRESSO input:
```
&SYSTEM
  ibrav = 0, nat = 4, ntyp = 3
/
ATOMIC_SPECIES
Se 78.96 Se.upf
La 138.91 La.upf
Sb 121.76 Sb.upf
CELL_PARAMETERS angstrom
5.088 0.002 0.003
-2.240 4.568 -0.003
-2.240 -1.776 4.209
ATOMIC_POSITIONS crystal
Se 0.500 0.250 0.750
Se 0.500 0.750 0.250
La 0.000 0.500 0.500
Sb 0.000 0.000 0.000
```